A plane-wave DFT calculation with PBE was carried out for crystalline KSmInSe3 at its relaxed geometry.

Results
Density   4.471 g cm⁻³
Formation energy (no corrections)   -1.17 eV/atom
Energy   -52.1 eV for the cell shown

Lattice parameters (Å, degrees): 8.810 4.661 10.165 90.00 105.64 90.00
Element x y z (fractional)
K 0.208 0.250 0.224
K 0.792 0.750 0.776
Sm 0.335 0.750 0.863
Sm 0.665 0.250 0.137
In 0.109 0.250 0.592
In 0.891 0.750 0.408
Se 0.106 0.250 0.855
Se 0.245 0.750 0.548
Se 0.459 0.750 0.153
Se 0.541 0.250 0.847
Se 0.755 0.250 0.452
Se 0.894 0.750 0.145